[1]
Below is an optimized crystal structure of AcIn2Pd2Au, with properties calculated at the PBE-GGA level.

Results
**Density of states at the Fermi level**: 0.5135 states/eV per atom
**SG**: I4/mmm
**Energy of formation from the pure elements**: -36.43 kJ per mole of atoms
**Magnetization**: 0.0 μB/f.u.

a b c (Å): 5.2365 5.2365 6.8755
angles (deg): 112.38 112.38 90.00
Last column: nearest neighbours and their distance in Å.
Element x y z (fractional)
Ac: 0.5000 0.5000 0.0000  2 Pd 3.09
In: 0.2500 0.7500 0.5000  4 Pd 2.63
In: 0.7500 0.2500 0.5000  4 Pd 2.63
Pd: 0.7668 0.7668 0.5336  4 In 2.63, 1 Au 2.70
Pd: 0.2332 0.2332 0.4664  4 In 2.63, 1 Au 2.70
Au: 0.0000 0.0000 0.0000  2 Pd 2.70

---

[2]
Below is an optimized crystal structure of Ac2In3Pd12Au, with properties calculated at the PBE-GGA level.

Results
**Density of states at the Fermi level**: 0.2572 states/eV per atom
**SG**: R-3m
**Energy of formation from the pure elements**: -40.16 kJ per mole of atoms
**Magnetization**: 0.0 μB/f.u.

a b c (Å): 7.1375 7.1375 7.1375
angles (deg): 83.08 83.08 83.08
Last column: nearest neighbours and their distance in Å.
Element x y z (fractional)
Ac: 0.6526 0.6526 0.6526  9 Pd 2.82-3.14
Ac: 0.3474 0.3474 0.3474  9 Pd 2.82-3.14
In: 0.5000 0.0000 0.0000  6 Pd 2.77-2.85
In: 0.0000 0.5000 0.0000  6 Pd 2.77-2.85
In: 0.0000 0.0000 0.5000  6 Pd 2.77-2.85
Pd: 0.3935 0.3935 0.9018  4 Pd 2.69-2.95, 2 In 2.85
Pd: 0.8037 0.8037 0.2902  5 Pd 2.69-2.95, 1 Au 2.70, 1 In 2.77, 1 Ac 2.82
Pd: 0.2902 0.8037 0.8037  5 Pd 2.69-2.95, 1 Au 2.70, 1 In 2.77, 1 Ac 2.82
Pd: 0.9018 0.3935 0.3935  4 Pd 2.69-2.95, 2 In 2.85
Pd: 0.8037 0.2902 0.8037  5 Pd 2.69-2.95, 1 Au 2.70, 1 In 2.77, 1 Ac 2.82
Pd: 0.3935 0.9018 0.3935  4 Pd 2.69-2.95, 2 In 2.85
Pd: 0.6065 0.6065 0.0982  4 Pd 2.69-2.95, 2 In 2.85
Pd: 0.1963 0.1963 0.7098  5 Pd 2.69-2.95, 1 Au 2.70, 1 In 2.77, 1 Ac 2.82
Pd: 0.7098 0.1963 0.1963  5 Pd 2.69-2.95, 1 Au 2.70, 1 In 2.77, 1 Ac 2.82
Pd: 0.0982 0.6065 0.6065  4 Pd 2.69-2.95, 2 In 2.85
Pd: 0.1963 0.7098 0.1963  5 Pd 2.69-2.95, 1 Au 2.70, 1 In 2.77, 1 Ac 2.82
Pd: 0.6065 0.0982 0.6065  4 Pd 2.69-2.95, 2 In 2.85
Au: 0.0000 0.0000 0.0000  6 Pd 2.70